# La2PuZrAs4 | Alexandria via LeMat-Bulk | GGA-PBE | relaxed
data_La2PuZrAs4
_chemical_formula_sum 'La2 Pu1 Zr1 As4'
_space_group_name_H-M_alt 'P 1 2/m 1'
_space_group_IT_number 10
_cell_length_a 7.2046
_cell_length_b 4.1657
_cell_length_c 7.2638
_cell_angle_alpha 90.00
_cell_angle_beta 109.16
_cell_angle_gamma 90.00
loop_
_space_group_symop_operation_xyz
'x,y,z'
'-x,-y,-z'
'-x,y,-z'
'x,-y,z'
loop_
_atom_site_label
_atom_site_type_symbol
_atom_site_fract_x
_atom_site_fract_y
_atom_site_fract_z
La1 La 0.0000 0.0000 0.0000
La2 La 0.5000 0.5000 0.0000
Pu1 Pu 0.0000 0.5000 0.5000
Zr1 Zr 0.5000 0.0000 0.5000
As1 As 0.2512 0.0000 0.7282
As2 As 0.2655 0.5000 0.2749
# Uncorrected energy in eV/atom: -7.729
# Theoretical density in kg/m³: 7360
# V in A^3/atom: 25.74
# Calculated formation energy in meV per atom: -1313

***

# ZnSb2Pb | Alexandria via LeMat-Bulk | GGA-PBE | relaxed
data_ZnSb2Pb
_chemical_formula_sum 'Zn3 Sb6 Pb3'
_space_group_name_H-M_alt 'R 3 m'
_space_group_IT_number 160
_space_group_name_Hall 'R 3 -2"'
_cell_length_a 3.4585
_cell_length_b 3.4585
_cell_length_c 30.5544
_cell_angle_alpha 90.00
_cell_angle_beta 90.00
_cell_angle_gamma 120.00
loop_
_atom_site_label
_atom_site_type_symbol
_atom_site_fract_x
_atom_site_fract_y
_atom_site_fract_z
Zn1 Zn 0.0000 0.0000 0.0000
Sb1 Sb 0.0000 0.0000 0.5006
Sb2 Sb 0.0000 0.0000 0.7354
Pb1 Pb 0.0000 0.0000 0.2556
# Uncorrected energy in eV/atom: -3.081
# Theoretical density in kg/m³: 8124
# V in A^3/atom: 26.38

***

Q: Among the records above, which one has the lowest theoretical density?
A: La2PuZrAs4